[1]
This record from Alexandria describes CaTaCr2 at its PBEsol-relaxed geometry. The functional is SCAN.

Lattice parameters (Å, degrees): 5.5274 5.5274 5.5274 148.46 130.89 59.54
Last column: nearest neighbours and their distance in Å.
Fractional coordinates of all 4 atoms:
Ca: 0.0000 0.0000 0.0000  6 Cr 2.83-2.96, 2 Ca 3.00, 4 Ta 3.09-3.11
Ta: 0.2818 0.7818 0.5000  6 Cr 2.78-3.05, 2 Ta 3.00, 4 Ca 3.09-3.11
Cr: 0.5721 0.5721 0.0000  2 Cr 2.16
Cr: 0.7345 0.2345 0.5000  2 Cr 2.16

Properties
Energy above the most stable polymorph in this dataset: 0.19 eV/f.u.
Crystal system: orthorhombic
Energy relative to the elements: 0.69 eV per atom
Energy: -27.56 eV/atom

=====

[2]
This record from Alexandria describes Ca2TaCr at its PBEsol-relaxed geometry. The functional is SCAN.

Lattice parameters (Å, degrees): 10.7762 10.7762 10.7762 16.95 16.95 16.95
Last column: nearest neighbours and their distance in Å.
Fractional coordinates of all 4 atoms:
Ca: 0.2488 0.2488 0.2488  6 Ca 3.18, 3 Ta 3.20, 3 Cr 3.26
Ca: 0.7512 0.7512 0.7512  6 Ca 3.18, 3 Ta 3.20, 3 Cr 3.26
Ta: 0.5000 0.5000 0.5000  6 Ta 3.18, 6 Ca 3.20
Cr: 0.0000 0.0000 0.0000  6 Cr 3.18, 6 Ca 3.26

Properties
Energy above the most stable polymorph in this dataset: 0.00 eV/f.u.
Crystal system: trigonal
Energy relative to the elements: 0.84 eV per atom
Energy: -25.24 eV/atom

=====

[3]
This record from Alexandria describes Ca2TaCr at its PBEsol-relaxed geometry. The functional is SCAN.

Lattice parameters (Å, degrees): 5.1434 5.1434 5.1434 60.00 60.00 60.00
Last column: nearest neighbours and their distance in Å.
Fractional coordinates of all 4 atoms:
Ca: 0.2500 0.2500 0.2500  4 Cr 3.15, 4 Ta 3.15
Ca: 0.7500 0.7500 0.7500  4 Cr 3.15, 4 Ta 3.15
Ta: 0.0000 0.0000 0.0000  8 Ca 3.15
Cr: 0.5000 0.5000 0.5000  8 Ca 3.15

Properties
Energy above the most stable polymorph in this dataset: 0.11 eV/f.u.
Crystal system: cubic
Energy relative to the elements: 0.86 eV per atom
Energy: -25.21 eV/atom